VASP calculation (PBE-GGA) on Tb3HoSc after structural relaxation.

Its space group is No. 57. For the formation enthalpy at 0 K, the calculation gives 0.81 eV/f.u. Its energy above the most stable polymorph in this dataset is 137 meV/atom.

Cell lengths 3.485, 10.505, 17.152 Å; angles 90.00, 90.00, 90.00 degrees
Positions (direct):
Sc1 0.246 0.750 0.773
Sc2 0.754 0.250 0.227
Sc3 0.246 0.250 0.727
Sc4 0.754 0.750 0.273
Tb1 0.248 0.559 0.923
Tb2 0.752 0.059 0.077
Tb3 0.752 0.941 0.423
Tb4 0.253 0.500 0.250
Tb5 0.747 0.000 0.750
Tb6 0.747 0.500 0.750
Tb7 0.752 0.441 0.077
Tb8 0.253 0.000 0.250
Tb9 0.752 0.559 0.423
Tb10 0.248 0.941 0.923
Tb11 0.248 0.059 0.577
Tb12 0.248 0.441 0.577
Ho1 0.254 0.750 0.103
Ho2 0.746 0.250 0.897
Ho3 0.254 0.250 0.397
Ho4 0.746 0.750 0.603